Density functional theory data (PBE with a Hubbard U) for a relaxed structure of NiOsAu2F.

Lattice parameters (Å, degrees): 4.7305 4.4825 4.7305 90.00 90.00 90.00
Site moments in Bohr magnetons follow the coordinates.
Sites, in units of the cell vectors:
Os 0.0000 0.5000 0.0000  2.53
F 0.5000 0.5000 0.5000  0.05
Au 0.0000 0.0000 0.5000  0.02
Au 0.5000 0.0000 0.0000  -0.03
Ni 0.0000 0.0000 0.0000  0.88

Properties
Crystal system: tetragonal
SG: P4/mmm
VASP energy in eV per cell: -15.5
Total magnetic moment in μB/f.u.: 3.620